(1)
DFT (PBE) results for crystalline Mg4Ga4Tc at its relaxed geometry.

Properties
Magnetic moment: 0.34 μB/f.u.
Total DFT energy (no corrections): -3.231 eV/atom

Cell lengths 6.5480, 6.5480, 6.5480 Å; angles 95.47, 95.47, 144.04 degrees
Fractional positions:
1 Mg 0.1624 0.1624 0.3247
2 Mg 0.1624 0.8376 0.0000
3 Mg 0.8376 0.1624 0.0000
4 Mg 0.8376 0.8376 0.6753
5 Ga 0.1720 0.5000 0.6720
6 Ga 0.5000 0.1720 0.6720
7 Ga 0.5000 0.8280 0.3280
8 Ga 0.8280 0.5000 0.3280
9 Tc 0.5000 0.5000 0.0000

(2)
DFT (PBE) results for crystalline ErGa5Rh6 at its relaxed geometry.

Properties
Magnetic moment: 0.00 μB/f.u.
Total DFT energy (no corrections): -6.070 eV/atom

Cell lengths 4.3153, 6.3605, 6.8242 Å; angles 90.00, 108.34, 90.00 degrees
Fractional positions:
1 Er 0.0000 0.0000 0.0000
2 Ga 0.0000 0.5000 0.0000
3 Ga 0.3332 0.0000 0.6664
4 Ga 0.3342 0.5000 0.6690
5 Ga 0.6658 0.5000 0.3310
6 Ga 0.6668 0.0000 0.3336
7 Rh 0.1729 0.2584 0.3455
8 Rh 0.1729 0.7416 0.3455
9 Rh 0.5000 0.2711 0.0000
10 Rh 0.5000 0.7289 0.0000
11 Rh 0.8271 0.2584 0.6545
12 Rh 0.8271 0.7416 0.6545

(3)
DFT (PBE) results for crystalline LaInSnCl2 at its relaxed geometry.

Properties
Magnetic moment: 0.00 μB/f.u.
Raw formation energy: -55 kJ/mol of atoms

Cell lengths 5.1961, 5.1961, 5.8188 Å; angles 90.00, 90.00, 90.00 degrees
Fractional positions:
1 La 0.0000 0.0000 0.0000
2 In 0.5000 0.5000 0.5000
3 Sn 0.5000 0.5000 0.0000
4 Cl 0.0000 0.5000 0.5000
5 Cl 0.5000 0.0000 0.5000

(4)
DFT (PBE) results for crystalline HfNbPO2 at its relaxed geometry.

Properties
Magnetic moment: 1.79 μB/f.u.
Raw formation energy: -130 kJ/mol of atoms
Energy above the most stable polymorph in this dataset: 0.0 meV per atom

Cell lengths 3.9373, 3.9373, 5.4440 Å; angles 90.00, 90.00, 90.00 degrees
Fractional positions:
1 Hf 0.0000 0.0000 0.0000
2 Nb 0.5000 0.5000 0.5000
3 P 0.0000 0.0000 0.5000
4 O 0.0000 0.5000 0.0000
5 O 0.5000 0.0000 0.0000

(5)
DFT (PBE) results for crystalline CaLa6 at its relaxed geometry.

Properties
Magnetic moment: 0.00 μB/f.u.
Total DFT energy (no corrections): -3.709 eV/atom

Cell lengths 7.1843, 7.1843, 7.1843 Å; angles 109.47, 109.47, 109.47 degrees
Fractional positions:
1 Ca 0.0000 0.0000 0.0000
2 La 0.2500 0.5000 0.7500
3 La 0.2500 0.7500 0.5000
4 La 0.5000 0.2500 0.7500
5 La 0.5000 0.7500 0.2500
6 La 0.7500 0.2500 0.5000
7 La 0.7500 0.5000 0.2500

(6)
DFT (PBE) results for crystalline AlSiBr2 at its relaxed geometry.

Properties
Magnetic moment: 0.00 μB/f.u.
Raw formation energy: 23 kJ/mol of atoms
Energy above the most stable polymorph in this dataset: 575.4 meV per atom

Cell lengths 5.6762, 5.6762, 3.4225 Å; angles 105.94, 105.94, 103.89 degrees
Fractional positions:
1 Al 0.0000 0.0000 0.0000
2 Si 0.5000 0.5000 0.0000
3 Br 0.0000 0.5000 0.0000
4 Br 0.5000 0.0000 0.0000

(7)
DFT (PBE) results for crystalline BaBr2Cl at its relaxed geometry.

Properties
Magnetic moment: 0.00 μB/f.u.
Raw formation energy: -153 kJ/mol of atoms
Energy above the most stable polymorph in this dataset: 23.8 meV per atom

Cell lengths 5.5163, 5.7154, 5.6540 Å; angles 90.00, 116.98, 90.00 degrees
Fractional positions:
1 Ba 0.0000 0.0000 0.0000
2 Br 0.2148 0.5000 0.8362
3 Br 0.6645 0.0000 0.3492
4 Cl 0.7190 0.5000 0.8563

(8)
DFT (PBE) results for crystalline LiMgCoH4 at its relaxed geometry.

Properties
Magnetic moment: 0.27 μB/f.u.
Total DFT energy (no corrections): -3.669 eV/atom

Cell lengths 5.4608, 5.4608, 5.4608 Å; angles 144.59, 144.59, 50.94 degrees
Fractional positions:
1 Li 0.0000 0.0000 0.0000
2 Mg 0.7260 0.7260 0.0000
3 Co 0.3575 0.3575 0.0000
4 H 0.1942 0.1942 0.0000
5 H 0.3716 0.8716 0.5000
6 H 0.5256 0.5256 0.0000
7 H 0.8716 0.3716 0.5000

Q: Look up the magnetic moment of the fifth one.
A: 0.00 μB/f.u.